1.
The following is a DFT calculation (PBE) of crystalline TbHoCu2B2N2 at its relaxed geometry.

Cell lengths 3.5018, 3.5018, 7.6907 Å; angles 90.00, 90.00, 90.00 degrees
Positions (direct):
B (0.5000, 0.5000, 0.3261)
B (0.0000, 0.0000, 0.6747)
Cu (0.5000, 0.0000, 0.4995)
Cu (0.0000, 0.5000, 0.4995)
Ho (0.0000, 0.0000, 0.1642)
N (0.5000, 0.5000, 0.1384)
N (0.0000, 0.0000, 0.8630)
Tb (0.5000, 0.5000, 0.8345)

Output
E in eV/cell: -53.8

2.
The following is a DFT calculation (PBE) of crystalline PrPuSb2Se2 at its relaxed geometry.

Cell lengths 4.2055, 4.2055, 8.8923 Å; angles 90.00, 90.00, 90.00 degrees
Site moments in Bohr magnetons follow the coordinates.
Positions (direct):
Pr (0.0000, 0.0000, 0.2934)  -0.03
Pu (0.5000, 0.5000, 0.7063)  5.12
Sb (0.5000, 0.0000, 0.9913)  -0.03
Sb (0.0000, 0.5000, 0.9913)  -0.03
Se (0.5000, 0.5000, 0.3770)  -0.04
Se (0.0000, 0.0000, 0.6407)  -0.12

Output
E in eV/cell: -41.6

3.
The following is a DFT calculation (PBE) of crystalline TbErCu2Sn2 at its relaxed geometry.

Cell lengths 4.5336, 4.5336, 7.2130 Å; angles 90.00, 90.00, 120.00 degrees
Positions (direct):
Cu (0.3333, 0.6667, 0.0559)
Cu (0.6667, 0.3333, 0.5486)
Er (0.0000, 0.0000, 0.2337)
Sn (0.3333, 0.6667, 0.4616)
Sn (0.6667, 0.3333, 0.9662)
Tb (0.0000, 0.0000, 0.7341)

Output
E in eV/cell: -28.2

4.
The following is a DFT calculation (PBE) of crystalline GdHoGa2Ag2 at its relaxed geometry.

Cell lengths 4.6041, 4.6041, 7.0270 Å; angles 90.00, 90.00, 120.00 degrees
Positions (direct):
Ag (0.6667, 0.3333, 0.2453)
Ag (0.6667, 0.3333, 0.7547)
Ga (0.3333, 0.6667, 0.2849)
Ga (0.3333, 0.6667, 0.7151)
Gd (0.0000, 0.0000, 0.0000)
Ho (0.0000, 0.0000, 0.5000)

Output
E in eV/cell: -24.0
Energy relative to the lowest polymorph listed for this composition in meV per atom: 0

5.
The following is a DFT calculation (PBE) of crystalline Sc4Fe3Mo2C3 at its relaxed geometry.

Cell lengths 5.3773, 5.3773, 14.5269 Å; angles 100.95, 100.95, 60.48 degrees
Site moments in Bohr magnetons follow the coordinates.
Positions (direct):
C (0.5000, 0.0000, 0.0000)  0.00
C (0.1912, 0.6542, 0.0001)  0.00
C (0.3458, 0.8088, 0.4999)  0.00
C (0.0000, 0.5000, 0.5000)  0.00
C (0.6542, 0.1912, 0.5001)  0.00
C (0.8088, 0.3458, 0.9999)  0.00
Fe (0.5811, 0.8991, 0.2485)  2.25
Fe (0.0759, 0.9241, 0.2500)  2.24
Fe (0.1009, 0.4189, 0.2515)  2.35
Fe (0.8991, 0.5811, 0.7485)  2.35
Fe (0.9241, 0.0759, 0.7500)  2.24
Fe (0.4189, 0.1009, 0.7515)  2.25
Mo (0.5273, 0.3505, 0.0795)  -0.09
Mo (0.6495, 0.4727, 0.4205)  -0.11
Mo (0.3505, 0.5273, 0.5795)  -0.11
Mo (0.4727, 0.6495, 0.9205)  -0.09
Sc (0.1884, 0.0415, 0.0919)  -0.18
Sc (0.8730, 0.6993, 0.0921)  -0.19
Sc (0.3007, 0.1270, 0.4079)  -0.19
Sc (0.9585, 0.8116, 0.4081)  -0.19
Sc (0.0415, 0.1884, 0.5919)  -0.19
Sc (0.6993, 0.8730, 0.5921)  -0.19
Sc (0.1270, 0.3007, 0.9079)  -0.19
Sc (0.8116, 0.9585, 0.9081)  -0.18

Output
E in eV/cell: -198.6

6.
The following is a DFT calculation (PBE) of crystalline GdHoIn4Pt2 at its relaxed geometry.

Cell lengths 7.4066, 5.7414, 5.7414 Å; angles 46.33, 90.00, 90.00 degrees
Positions (direct):
Gd (0.0000, 0.9241, 0.9241)
Ho (0.5000, 0.0760, 0.0760)
In (0.2988, 0.3637, 0.3637)
In (0.7012, 0.3637, 0.3637)
In (0.2027, 0.6358, 0.6358)
In (0.7973, 0.6358, 0.6358)
Pt (0.0000, 0.2081, 0.2081)
Pt (0.5000, 0.7928, 0.7928)

Output
E in eV/cell: -38.2

7.
The following is a DFT calculation (PBE) of crystalline HfAg2HgBr6 at its relaxed geometry.

Cell lengths 8.0059, 8.0059, 8.0059 Å; angles 60.00, 60.00, 60.00 degrees
Positions (direct):
Ag (0.2500, 0.2500, 0.2500)
Ag (0.7500, 0.7500, 0.7500)
Br (0.7700, 0.7700, 0.2300)
Br (0.7700, 0.2300, 0.2300)
Br (0.2300, 0.7700, 0.2300)
Br (0.7700, 0.2300, 0.7700)
Br (0.2300, 0.2300, 0.7700)
Br (0.2300, 0.7700, 0.7700)
Hf (0.0000, 0.0000, 0.0000)
Hg (0.5000, 0.5000, 0.5000)

Output
E in eV/cell: -30.0

8.
The following is a DFT calculation (PBE) of crystalline Pm2Cd2O5 at its relaxed geometry.

Cell lengths 8.9728, 4.1495, 4.1495 Å; angles 90.00, 90.00, 90.00 degrees
Positions (direct):
Cd (0.0000, 0.0000, 0.0000)
Cd (0.5000, 0.0000, 0.0000)
O (0.1526, 0.5000, 0.0000)
O (0.8474, 0.5000, 0.0000)
O (0.1526, 0.0000, 0.5000)
O (0.8474, 0.0000, 0.5000)
O (0.5000, 0.5000, 0.5000)
Pm (0.2443, 0.5000, 0.5000)
Pm (0.7557, 0.5000, 0.5000)

Output
E in eV/cell: -52.4
Energy relative to the lowest polymorph listed for this composition in meV per atom: 0

no.,V (Å³ per cell)
1,94.31
2,157.27
3,128.39
4,129.00
5,356.57
6,176.59
7,362.84
8,154.49